Tb6Cd2Tc | PBE | optimized geometry

Summary:
E above lowest polymorph: 215.5 meV per atom
formation energy from the elements: 0.0708 eV/atom
SG: C2/m
total moment: 0.00 Bohr magnetons per cell

Lattice parameters (Å, degrees): 5.190 7.179 8.624 114.60 107.43 90.00
Sites, in units of the cell vectors:
Cd  0.665  0.666  0.332
Cd  0.335  0.334  0.668
Tb  0.500  0.773  0.000
Tb  0.153  0.911  0.308
Tb  0.847  0.089  0.692
Tb  0.500  0.227  0.000
Tb  0.847  0.603  0.692
Tb  0.153  0.397  0.308
Tc  0.000  0.000  0.000

---

ZrRe2Rh | PBE | optimized geometry

Summary:
E above lowest polymorph: 43.7 meV per atom
formation energy from the elements: -0.0812 eV/atom
SG: P4/mmm
total moment: 0.00 Bohr magnetons per cell

Lattice parameters (Å, degrees): 3.842 3.842 4.430 90.00 90.00 90.00
Sites, in units of the cell vectors:
Zr  0.000  0.500  0.500
Re  0.000  0.000  0.000
Re  0.500  0.500  0.000
Rh  0.500  0.000  0.500

---

AgTe2Cl | PBE | optimized geometry

Summary:
SG: P4mm
total moment: 0.00 Bohr magnetons per cell
formation energy without anion corrections: -0.12 eV per atom

Lattice parameters (Å, degrees): 4.010 4.010 8.281 90.00 90.00 90.00
Sites, in units of the cell vectors:
Te  0.500  0.500  0.144
Te  0.000  0.000  0.032
Cl  0.500  0.500  0.638
Ag  0.000  0.000  0.686